# 1
{
  "formula": "Zn2Ni2Hg",
  "functional": "GGA-PBE",
  "state": "relaxed",
  "formation_enthalpy_0k_ev_per_atom": -0.04,
  "relative_energy_mev_per_atom": 0,
  "cell": [[-0.597, 4.072, -5.765], [-6.675, 1.554, 1.788], [0.927, 2.258, 1.499]],
  "species": ["Ni", "Ni", "Ni", "Ni", "Zn", "Zn", "Zn", "Zn", "Hg", "Hg"],
  "frac_coords": [[0.371, 0.871, 0.000], [0.871, 0.629, 0.000], [0.629, 0.129, 0.000], [0.129, 0.371, 0.000], [0.163, 0.663, 0.500], [0.663, 0.837, 0.500], [0.837, 0.337, 0.500], [0.337, 0.163, 0.500], [0.000, 0.000, 0.000], [0.500, 0.500, 0.000]]
}



# 2
{
  "formula": "LiCeIr2",
  "functional": "GGA-PBE",
  "state": "relaxed",
  "formation_enthalpy_0k_ev_per_atom": -0.51,
  "cell": [[-1.001, -3.703, -0.342], [1.042, -0.651, 4.002], [-3.906, 0.947, 1.171]],
  "species": ["Ir", "Ir", "Ce", "Li"],
  "frac_coords": [[0.000, 0.000, 0.500], [0.000, 0.500, 0.000], [0.500, 0.500, 0.500], [0.500, 0.000, 0.000]]
}



# 3
{
  "formula": "CrRe3C",
  "functional": "GGA-PBE",
  "state": "relaxed",
  "formation_enthalpy_0k_ev_per_atom": 0.35,
  "relative_energy_mev_per_atom": 0,
  "cell": [[4.042, 0.000, 0.000], [0.000, 4.042, 0.000], [0.000, 0.000, 4.042]],
  "species": ["Re", "Re", "Re", "C", "Cr"],
  "frac_coords": [[0.000, 0.500, 0.000], [0.000, 0.000, 0.500], [0.500, 0.000, 0.000], [0.000, 0.000, 0.000], [0.500, 0.500, 0.500]]
}



# 4
{
  "formula": "HoAlPd6",
  "functional": "GGA-PBE",
  "state": "relaxed",
  "formation_enthalpy_0k_ev_per_atom": -0.27,
  "relative_energy_mev_per_atom": 475,
  "cell": [[5.321, 0.255, 0.288], [-0.328, 5.317, 0.288], [-0.328, -0.366, 5.313]],
  "species": ["Ho", "Al", "Pd", "Pd", "Pd", "Pd", "Pd", "Pd"],
  "frac_coords": [[0.000, 0.000, 0.000], [0.500, 0.500, 0.500], [0.178, 0.548, 0.178], [0.178, 0.178, 0.548], [0.822, 0.452, 0.822], [0.452, 0.822, 0.822], [0.822, 0.822, 0.452], [0.548, 0.178, 0.178]]
}



# 5
{
  "formula": "Pa4GeIrSe2",
  "functional": "GGA-PBE",
  "state": "relaxed",
  "e_form_raw_ev_per_atom": -0.915,
  "cell": [[3.987, 0.000, 0.000], [0.000, 7.110, -0.180], [0.000, 2.469, 6.792]],
  "species": ["Pa", "Pa", "Pa", "Pa", "Ge", "Ir", "Se", "Se"],
  "frac_coords": [[0.000, 0.731, 0.767], [0.000, 0.269, 0.233], [0.500, 0.743, 0.244], [0.500, 0.257, 0.756], [0.000, 0.500, 0.500], [0.500, 0.500, 0.000], [0.000, 0.000, 0.000], [0.500, 0.000, 0.500]]
}



# 6
{
  "formula": "PrCu2Ge2",
  "functional": "GGA-PBE",
  "state": "relaxed",
  "formation_enthalpy_0k_ev_per_atom": -0.54,
  "cell": [[4.180, -0.008, -0.002], [0.003, 4.180, -0.002], [-2.106, -2.100, 5.152]],
  "species": ["Pr", "Ge", "Ge", "Cu", "Cu"],
  "frac_coords": [[0.000, 0.000, 0.000], [0.624, 0.624, 0.247], [0.376, 0.376, 0.753], [0.748, 0.252, 0.500], [0.252, 0.748, 0.500]]
}



# 7
{
  "formula": "Ti5Pt4Rh",
  "functional": "GGA-PBE",
  "state": "relaxed",
  "formation_enthalpy_0k_ev_per_atom": -0.87,
  "cell": [[2.864, 0.000, 0.000], [0.000, 2.864, 0.000], [0.000, 0.000, 18.850]],
  "species": ["Ti", "Ti", "Ti", "Ti", "Ti", "Pt", "Pt", "Pt", "Pt", "Rh"],
  "frac_coords": [[0.500, 0.500, 0.094], [0.500, 0.500, 0.297], [0.500, 0.500, 0.500], [0.500, 0.500, 0.703], [0.500, 0.500, 0.906], [0.000, 0.000, 0.196], [0.000, 0.000, 0.398], [0.000, 0.000, 0.602], [0.000, 0.000, 0.804], [0.000, 0.000, 0.000]]
}



# 8
{
  "formula": "La2TaCdSi",
  "functional": "GGA-PBE",
  "state": "relaxed",
  "e_form_raw_ev_per_atom": 1.090,
  "cell": [[5.893, 0.000, 0.000], [0.000, 4.592, 0.000], [0.000, 0.000, 5.893]],
  "species": ["Cd", "Si", "La", "La", "Ta"],
  "frac_coords": [[0.000, 0.000, 0.000], [0.000, 0.500, 0.000], [0.000, 0.000, 0.500], [0.500, 0.000, 0.000], [0.500, 0.500, 0.500]]
}



no.,electronic total energy (Ry per atom)
1,-0.21445
2,-0.50730
3,-0.79996
4,-0.38238
5,-0.60405
6,-0.36615
7,-0.58538
8,-0.33218